A plane-wave DFT calculation with PBE was carried out for a geometry-optimized Th3P2Rh9Au structure.

Structure (CIF):
```
data_Th3P2Rh9Au
_symmetry_space_group_name_H-M 'P -3 m 1'
_symmetry_Int_Tables_number 164
_symmetry_space_group_name_Hall '-P 3 2"'
_cell_length_a 7.0665
_cell_length_b 7.0665
_cell_length_c 6.7119
_cell_angle_alpha 90.00
_cell_angle_beta 90.00
_cell_angle_gamma 120.00
loop_
_atom_site_label
_atom_site_type_symbol
_atom_site_fract_x
_atom_site_fract_y
_atom_site_fract_z
_atom_site_occupancy
Th1 Th 0.0000 0.0000 0.0000 1
Th2 Th 0.3333 0.6667 0.6743 1
P1 P 0.3333 0.6667 0.1329 1
Rh1 Rh 0.0000 0.5000 0.0000 1
Rh2 Rh 0.1931 0.3862 0.3453 1
Au1 Au 0.0000 0.0000 0.5000 1
```

Values from the calculation:
E	-7.3877	eV per atom
E_form	-0.553	eV/atom



A plane-wave DFT calculation with PBE was carried out for a geometry-optimized PaSnRh6 structure.

Structure (CIF):
```
data_PaSnRh6
_symmetry_space_group_name_H-M 'P 4/m m m'
_symmetry_Int_Tables_number 123
_symmetry_space_group_name_Hall '-P 4 2'
_cell_length_a 5.6643
_cell_length_b 5.6643
_cell_length_c 4.0292
_cell_angle_alpha 90.00
_cell_angle_beta 90.00
_cell_angle_gamma 90.00
loop_
_atom_site_label
_atom_site_type_symbol
_atom_site_fract_x
_atom_site_fract_y
_atom_site_fract_z
_atom_site_occupancy
Pa1 Pa 0.0000 0.0000 0.0000 1
Sn1 Sn 0.5000 0.5000 0.0000 1
Rh1 Rh 0.0000 0.5000 0.0000 1
Rh2 Rh 0.2503 0.2503 0.5000 1
```

Values from the calculation:
E	-7.7834	eV per atom
E_form	-0.582	eV/atom